This record from Alexandria describes a relaxed Ca3GaAg2 crystal. The functional is PBE.

Results
The calculation puts the calculated total energy at -2.805 eV per atom. The energy of formation from the pure elements is -0.350 eV per atom.

```
Ca3GaAg2
1.0
3.6768 0.0000 0.0000
0.0000 3.6768 0.0000
0.0000 0.0000 11.2765
Ca Ga Ag
3 1 2
direct
0.0000 0.0000 0.0000
0.0000 0.0000 0.6632
0.0000 0.0000 0.3368
0.5000 0.5000 0.5000
0.5000 0.5000 0.8318
0.5000 0.5000 0.1682
```

This record from Alexandria describes a relaxed Fe2CoNi crystal. The functional is PBE.

Results
The calculation puts the calculated total energy at -7.452 eV per atom. The energy of formation from the pure elements is 0.002 eV per atom. The polymorph energy (0 for the lowest one) is 13 meV per atom.

```
Fe2CoNi
1.0
4.4280 0.0441 -0.0029
1.5817 4.1361 0.0029
-2.9994 -2.0978 2.4923
Co Fe Ni
1 2 1
direct
0.2499 0.7499 0.5000
0.0001 0.0001 0.0000
0.7501 0.2501 0.5000
0.5000 0.5000 0.0000
```

This record from Alexandria describes a relaxed Tb12Y2Tm5 crystal. The functional is PBE.

Results
The calculation puts the calculated total energy at -4.717 eV per atom. The energy of formation from the pure elements is 0.064 eV per atom. The polymorph energy (0 for the lowest one) is 0 meV per atom.

```
Tb12Y2Tm5
1.0
-5.6091 1.5003 -3.4455
3.6732 -8.8134 -0.6184
-2.5448 -0.4109 11.8054
Tb Y Tm
12 2 5
direct
0.1673 0.2025 0.2640
0.1005 0.5822 0.8749
0.6997 0.6412 0.9652
0.1731 0.8590 0.2948
0.3759 0.6242 0.4279
0.2601 0.8021 0.6479
0.7399 0.1979 0.3521
0.8269 0.1410 0.7052
0.6241 0.3758 0.5721
0.8995 0.4178 0.1251
0.3003 0.3588 0.0348
0.8327 0.7975 0.7360
0.7132 0.9961 0.9535
0.2868 0.0039 0.0465
0.2330 0.4440 0.6461
0.5568 0.7858 0.1884
0.0000 0.0000 0.5000
0.4432 0.2142 0.8116
0.7670 0.5560 0.3539
```

This record from Alexandria describes a relaxed Nd2Br3Cl2 crystal. The functional is PBE.

Results
The calculation puts the calculated total energy at -4.487 eV per atom. The uncorrected formation energy is -1881 meV/atom.

```
Nd2Br3Cl2
1.0
3.6410 0.0000 0.9721
1.5064 4.9405 1.6624
-1.4435 -0.7092 12.7115
Nd Br Cl
2 3 2
direct
0.1110 0.9715 0.8065
0.8890 0.0285 0.1935
0.5000 0.0000 0.0000
0.4007 0.8352 0.3634
0.5993 0.1648 0.6366
0.1803 0.4656 0.1737
0.8197 0.5344 0.8263
```

This record from Alexandria describes a relaxed Ac2LaIn3Pd6 crystal. The functional is PBE.

Results
The calculation puts the calculated total energy at -5.035 eV per atom. The energy of formation from the pure elements is -0.659 eV per atom.

```
Ac2LaIn3Pd6
1.0
4.4899 0.0000 0.0000
0.0000 4.4899 0.0000
0.0000 0.0000 14.5308
Ac La In Pd
2 1 3 6
direct
0.5000 0.5000 0.1564
0.5000 0.5000 0.8436
0.5000 0.5000 0.5000
0.0000 0.0000 0.4026
0.0000 0.0000 0.5974
0.0000 0.0000 0.0000
0.0000 0.5000 0.6946
0.5000 0.0000 0.3054
0.5000 0.0000 0.6946
0.0000 0.0000 0.1827
0.0000 0.5000 0.3054
0.0000 0.0000 0.8173
```

This record from Alexandria describes a relaxed Ti6Bi3Sb crystal. The functional is PBE.

Results
The calculation puts the calculated total energy at -6.385 eV per atom. The uncorrected formation energy is -71 meV/atom.

```
Ti6Bi3Sb
1.0
7.1937 0.0000 0.0000
0.0000 8.1248 -0.9235
0.0000 -2.7133 7.7138
Ti Bi Sb
12 6 2
direct
0.1212 0.7925 0.6255
0.6212 0.6255 0.7925
0.2914 0.4977 0.9511
0.7914 0.9511 0.4977
0.2672 0.9754 0.0246
0.5912 0.2652 0.7348
0.0912 0.7348 0.2652
0.7672 0.0246 0.9754
0.2914 0.0489 0.5023
0.7914 0.5023 0.0489
0.1212 0.3745 0.2075
0.6212 0.2075 0.3745
0.4883 0.9010 0.6981
0.9883 0.6981 0.9010
0.3079 0.4319 0.5681
0.8079 0.5681 0.4319
0.9883 0.0990 0.3019
0.4883 0.3019 0.0990
0.0173 0.1824 0.8176
0.5173 0.8176 0.1824
```

This record from Alexandria describes a relaxed Pr3SmZn8 crystal. The functional is PBE.

Results
The calculation puts the calculated total energy at -2.753 eV per atom. The energy of formation from the pure elements is -0.316 eV per atom. The polymorph energy (0 for the lowest one) is 0 meV per atom.

```
Pr3SmZn8
1.0
-3.6422 -3.9103 1.6811
1.6726 -5.3127 0.6003
1.5492 -1.3999 9.4340
Pr Sm Zn
3 1 8
direct
0.3748 0.3748 0.8757
0.0001 0.0001 0.9996
0.4997 0.4997 0.5010
0.8754 0.8754 0.3738
0.9361 0.4372 0.1895
0.4393 0.9375 0.6856
0.4372 0.4372 0.1895
0.9375 0.9375 0.6856
0.1875 0.1875 0.4374
0.6876 0.6876 0.9372
0.4372 0.9361 0.1895
0.9375 0.4393 0.6856
```

This record from Alexandria describes a relaxed Rb2AgW crystal. The functional is PBE.

Results
The calculation puts the calculated total energy at -2.932 eV per atom. The energy of formation from the pure elements is 1.503 eV per atom. The polymorph energy (0 for the lowest one) is 0 meV per atom.

```
Rb2AgW
1.0
12.5692 0.0000 0.0000
0.0000 12.5692 0.0000
6.2846 6.2846 2.7468
Rb Ag W
4 2 2
direct
0.4684 0.1250 0.2500
0.2816 0.6250 0.2500
0.3750 0.5316 0.7500
0.8750 0.7184 0.7500
0.5000 0.5000 0.0000
0.2500 0.7500 0.5000
0.0000 0.0000 0.0000
0.7500 0.2500 0.5000
```

This record from Alexandria describes a relaxed Th4TcTe2P crystal. The functional is PBE.

Results
The calculation puts the calculated total energy at -7.445 eV per atom. The uncorrected formation energy is -978 meV/atom.

```
Th4TcTe2P
1.0
-0.1247 1.3001 -3.9679
-3.1590 -6.4530 -2.0150
-5.7589 5.0028 1.8201
Th Tc Te P
4 1 2 1
direct
0.5000 0.2405 0.2060
0.5000 0.7595 0.7940
0.0000 0.2773 0.7969
0.0000 0.7227 0.2031
0.5000 0.5000 0.0000
0.5000 0.0000 0.5000
0.0000 0.5000 0.5000
0.0000 0.0000 0.0000
```

This record from Alexandria describes a relaxed TmLuFeOs crystal. The functional is PBE.

Results
The calculation puts the calculated total energy at -7.242 eV per atom. The energy of formation from the pure elements is -0.071 eV per atom.

```
TmLuFeOs
1.0
-1.7354 -4.3842 0.4861
2.9347 -3.7224 0.0157
0.7460 -2.4131 4.0112
Tm Lu Os Fe
1 1 1 1
direct
0.0000 0.0000 0.0000
0.5000 0.5000 0.5000
0.2500 0.2500 0.2500
0.7500 0.7500 0.7500
```

This record from Alexandria describes a relaxed CdPd2Pb2 crystal. The functional is PBE.

Results
The calculation puts the calculated total energy at -3.781 eV per atom. The energy of formation from the pure elements is -0.037 eV per atom. The polymorph energy (0 for the lowest one) is 177 meV per atom.

```
CdPd2Pb2
1.0
-0.8945 0.4432 -3.8022
0.5122 -3.8557 -0.5700
-7.8147 -2.9624 -0.5391
Pb Pd Cd
2 2 1
direct
0.3794 0.3794 0.2413
0.6206 0.6206 0.7587
0.7500 0.2500 0.5000
0.2500 0.7500 0.5000
0.0000 0.0000 0.0000
```

This record from Alexandria describes a relaxed Cs2NaNiH6 crystal. The functional is PBE.

Results
The calculation puts the calculated total energy at -3.043 eV per atom.

```
Cs2NaNiH6
1.0
-0.1017 3.0219 4.6065
-4.4279 -3.7723 2.3768
6.0739 -1.2816 0.9748
Cs Na Ni H
2 1 1 6
direct
0.2094 0.3333 0.6667
0.7906 0.6667 0.3333
0.5000 0.0000 0.0000
0.0000 0.0000 0.0000
0.8391 0.1206 0.2411
0.8391 0.1206 0.8794
0.8391 0.7589 0.8794
0.1609 0.8794 0.1206
0.1609 0.2411 0.1206
0.1609 0.8794 0.7589
```

no.,ρ (Mg/m³)
1,4.4
2,8.4
3,8.0
4,4.2
5,8.9
6,7.9
7,7.4
8,3.5
9,9.4
10,13.0
11,10.1
12,3.1